PmTmNiRu after structural relaxation. Source: Alexandria via LeMat-Bulk, functional PBE.

Cell and atoms, written as POSCAR:
```
PmTmNiRu
1.0
3.4083 0.0000 0.0000
0.0000 3.4083 0.0000
0.0000 0.0000 6.8535
Pm Tm Ni Ru
1 1 1 1
Direct
0.0000 0.0000 0.8600
0.0000 0.0000 0.3571
0.5000 0.5000 0.5896
0.5000 0.5000 0.1213
```

Summary:
E_form in meV per atom: -358



PmYNiRu after structural relaxation. Source: Alexandria via LeMat-Bulk, functional PBE.

Cell and atoms, written as POSCAR:
```
PmYNiRu
1.0
-4.0390 2.5378 -0.9935
-1.9625 -0.1901 -4.4557
-4.2251 -2.3225 -0.7041
Y Ru Ni Pm
1 1 1 1
Direct
0.5000 0.5000 0.5000
0.7500 0.7500 0.7500
0.2500 0.2500 0.2500
0.0000 0.0000 0.0000
```

Summary:
E_form in meV per atom: -284



PmYNiRu after structural relaxation. Source: Alexandria via LeMat-Bulk, functional PBE.

Cell and atoms, written as POSCAR:
```
PmYNiRu
1.0
3.4355 0.0000 0.0000
0.0000 3.4355 0.0000
0.0000 0.0000 6.9260
Pm Y Ni Ru
1 1 1 1
Direct
0.0000 0.0000 0.8590
0.0000 0.0000 0.3562
0.5000 0.5000 0.6002
0.5000 0.5000 0.1124
```

Summary:
E_form in meV per atom: -303



PmZnNiRu after structural relaxation. Source: Alexandria via LeMat-Bulk, functional PBE.

Cell and atoms, written as POSCAR:
```
PmZnNiRu
1.0
-0.4504 1.5945 4.2621
1.0954 -2.6517 3.5609
3.7158 0.9409 2.4938
Ru Zn Ni Pm
1 1 1 1
Direct
0.0000 0.0000 0.0000
0.2500 0.2500 0.2500
0.5000 0.5000 0.5000
0.7500 0.7500 0.7500
```

Summary:
E_form in meV per atom: -48



Pm4NiS3 after structural relaxation. Source: Alexandria via LeMat-Bulk, functional PBE.

Cell and atoms, written as POSCAR:
```
Pm4NiS3
1.0
5.2307 0.0048 -2.3186
-1.0322 5.1279 -2.3185
-0.0238 -0.0292 7.0057
Ni S Pm
1 3 4
Direct
0.0000 0.0000 0.0000
0.5000 0.5000 0.0000
0.7500 0.2500 0.5000
0.2500 0.7500 0.5000
0.0000 0.5000 0.0000
0.5000 0.0000 0.0000
0.2506 0.2506 0.5012
0.7494 0.7494 0.4988
```

Summary:
Total energy in eV/atom: -6.20



Pm5NiS4 after structural relaxation. Source: Alexandria via LeMat-Bulk, functional PBE.

Cell and atoms, written as POSCAR:
```
Pm5NiS4
1.0
3.8751 0.0000 0.8852
1.6280 6.6587 1.7977
-0.0334 0.0072 9.0710
Pm Ni S
5 1 4
Direct
0.1988 0.9011 0.7012
0.8012 0.0989 0.2988
0.4034 0.2893 0.9039
0.0000 0.5000 0.5000
0.5966 0.7107 0.0961
0.0000 0.0000 0.0000
0.6014 0.2011 0.5962
0.1986 0.4020 0.2008
0.8014 0.5980 0.7992
0.3986 0.7989 0.4038
```

Summary:
Total energy in eV/atom: -6.28